# AcSmDy6

A geometry-optimized AcSmDy6 structure (GGA-PBE, Alexandria via LeMat-Bulk). Values from VASP.

The structure in Quantum ESPRESSO input format:
```
&SYSTEM
  ibrav = 0, nat = 8, ntyp = 3
/
ATOMIC_SPECIES
Ac 227.00 Ac.upf
Sm 150.36 Sm.upf
Dy 162.50 Dy.upf
ATOMIC_POSITIONS crystal
Ac 0.000 0.000 0.000
Sm 0.000 0.000 0.500
Dy 0.000 0.500 0.257
Dy 0.000 0.500 0.743
Dy 0.500 0.000 0.257
Dy 0.500 0.000 0.743
Dy 0.500 0.500 0.000
Dy 0.500 0.500 0.500
CELL_PARAMETERS angstrom
5.101 0.000 0.000
0.000 5.101 0.000
0.000 0.000 10.206
```

Computed properties:
energy above the most stable polymorph in this dataset: 0.000 eV/atom
energy of formation from the pure elements: 0.040 eV per atom
E: -4.515 eV per atom